# VPt2S6, relaxed, DFT PBE
data_VPt2S6
_space_group_name_H-M_alt 'C 1 2/m 1'
_space_group_IT_number 12
_cell_length_a 12.4377
_cell_length_b 3.4927
_cell_length_c 10.2738
_cell_angle_alpha 90.00
_cell_angle_beta 119.28
_cell_angle_gamma 90.00
loop_
_space_group_symop_operation_xyz
'x,y,z'
'-x,-y,-z'
'-x,y,-z'
'x,-y,z'
'x+1/2,y+1/2,z'
'-x+1/2,-y+1/2,-z'
'-x+1/2,y+1/2,-z'
'x+1/2,-y+1/2,z'
loop_
_atom_site_label
_atom_site_fract_x
_atom_site_fract_y
_atom_site_fract_z
V1 0.0000 0.0000 0.0000
Pt1 0.1648 0.5000 0.3298
S1 0.0128 0.0000 0.2403
S2 0.1531 0.5000 0.0868
S3 0.1849 0.5000 0.5736
# M_tot = 0.1103 μB per atom
# E_tot = -49.95 eV/f.u.
# Raw formation energy = -0.44 eV/atom